No. 1
InSb2TeRh GGA-PBEsol relaxed; E_form (uncorrected) = 0.23 eV/atom; total magnetic moment = 0.00 μB per cell
1.0
4.989 0.000 0.000
0.000 4.989 0.000
0.000 0.000 5.601
In Sb Te Rh
1 2 1 1
direct
0.000 0.000 0.000
0.000 0.500 0.500
0.500 0.000 0.500
0.500 0.500 0.000
0.500 0.500 0.500


No. 2
Sc5In4Rh2 GGA-PBEsol relaxed; formation enthalpy at 0 K = -0.71 eV/atom; total magnetic moment = 0.00 μB per cell
1.0
7.576 0.000 0.000
0.000 17.354 0.000
0.000 0.000 3.315
Sc In Rh
10 8 4
direct
0.000 0.000 0.000
0.125 0.414 0.000
0.244 0.721 0.000
0.256 0.221 0.000
0.375 0.914 0.000
0.500 0.500 0.000
0.625 0.086 0.000
0.744 0.779 0.000
0.756 0.279 0.000
0.875 0.586 0.000
0.068 0.851 0.500
0.203 0.567 0.500
0.297 0.067 0.500
0.432 0.351 0.500
0.568 0.649 0.500
0.703 0.933 0.500
0.797 0.433 0.500
0.932 0.149 0.500
0.038 0.306 0.500
0.462 0.806 0.500
0.538 0.194 0.500
0.962 0.694 0.500


No. 3
ScIn3Rh GGA-PBEsol relaxed; formation enthalpy at 0 K = 0.01 eV/atom; total magnetic moment = 0.00 μB per cell
1.0
4.974 0.000 0.000
0.000 4.974 0.000
0.000 0.000 4.974
Sc In Rh
1 3 1
direct
0.000 0.000 0.000
0.000 0.500 0.500
0.500 0.000 0.500
0.500 0.500 0.000
0.500 0.500 0.500


No. 4
In2RhSe GGA-PBEsol relaxed; E_form (uncorrected) = -0.21 eV/atom; total magnetic moment = 0.00 μB per cell
1.0
3.019 0.000 0.000
0.000 4.568 0.000
0.000 0.000 11.952
In Rh Se
4 2 2
direct
0.000 0.000 0.000
0.000 0.500 0.196
0.500 0.000 0.696
0.500 0.500 0.500
0.000 0.500 0.701
0.500 0.000 0.201
0.000 0.000 0.375
0.500 0.500 0.875